(1)
## Ce2ScTi (PBE)

Data for crystalline Ce2ScTi at its relaxed geometry.

- energy above the most stable polymorph in this dataset (meV/atom) = 112
- size of the total moment (μB/f.u.) = 0.0
- calculated total energy (eV per atom) = -6.26
- energy relative to the elements (eV/f.u.) = 1.06

Cell: 3.0619 3.0619 34.2636 Å, 90.00 90.00 120.00°
Space group R-3m (No. 166, hexagonal axes)
Asymmetric unit:
Ce: 0.0000 0.0000 0.0797
Sc: 0.0000 0.0000 0.5000
Ti: 0.0000 0.0000 0.0000

(2)
## Er6Zn2Sn (PBE)

Data for crystalline Er6Zn2Sn at its relaxed geometry.

- size of the total moment (μB/f.u.) = 0.0
- calculated total energy (eV per atom) = -4.08
- energy relative to the elements (eV/f.u.) = -2.83

Cell: 9.428 9.547 10.595 Å, 90.00 90.00 90.00°
Space group Immm (No. 71)
Asymmetric unit:
Er: 0.000 0.202 0.234
Er: 0.201 0.500 0.183
Er: 0.217 0.311 0.500
Zn: 0.000 0.356 0.000
Zn: 0.000 0.500 0.381
Sn: 0.000 0.000 0.000
Sn: 0.000 0.000 0.500

(3)
## MgZr2CrH (PBE)

Data for crystalline MgZr2CrH at its relaxed geometry.

- size of the total moment (μB/f.u.) = 0.0
- calculated total energy (eV per atom) = -6.30

Cell: 4.664 4.664 3.569 Å, 90.00 90.00 90.00°
Space group P4/mmm (No. 123)
Asymmetric unit:
Mg: 0.000 0.000 0.000
Zr: 0.000 0.500 0.500
Cr: 0.500 0.500 0.000
H: 0.500 0.500 0.500

Among the records above, which one has the lowest calculated total energy? MgZr2CrH

What is the calculated total energy in the second record? -4.08 eV per atom

What is the formula in the third record? MgZr2CrH